{"formula": "PrCdNiAg", "functional": "GGA-PBE", "state": "relaxed", "lattice": [[4.9252, 0.0000, 0.0000], [2.4626, 4.2654, 0.0000], [2.4626, 1.4218, 4.0214]], "species": ["Pr", "Ni", "Ag", "Cd"], "fractional_positions": [[0.0000, 0.0000, 0.0000], [0.2500, 0.2500, 0.2500], [0.7500, 0.7500, 0.7500], [0.5000, 0.5000, 0.5000]], "ef_ev_per_atom": -0.142, "crystal_system": "cubic"}



{"formula": "ZnBiP2S", "functional": "GGA-PBE", "state": "relaxed", "lattice": [[-3.0335, -1.6427, 4.0954], [4.3740, -0.4636, 3.0539], [-0.5650, 4.9246, 1.5568]], "species": ["S", "P", "P", "Zn", "Bi"], "fractional_positions": [[0.0000, 0.0000, 0.5000], [0.0000, 0.5000, 0.0000], [0.5000, 0.0000, 0.0000], [0.5000, 0.5000, 0.5000], [0.0000, 0.0000, 0.0000]], "formation_energy_uncorrected_ev_per_fu": 5.90, "crystal_system": "tetragonal"}



{"formula": "Dy2TmTe3", "functional": "GGA-PBE", "state": "relaxed", "lattice": [[4.3672, 0.0000, 0.0000], [0.0000, 6.1077, 0.0000], [-2.1836, -3.0538, 6.4784]], "species": ["Dy", "Dy", "Tm", "Te", "Te", "Te"], "fractional_positions": [[0.8282, 0.8282, 0.1565], [0.1718, 0.1718, 0.8435], [0.5000, 0.5000, 0.5000], [0.8376, 0.3376, 0.1752], [0.1624, 0.6624, 0.8248], [0.5000, 0.0000, 0.5000]], "formation_energy_uncorrected_ev_per_fu": -7.45, "crystal_system": "orthorhombic"}



{"formula": "Sc6HgSe5", "functional": "GGA-PBE", "state": "relaxed", "lattice": [[6.6747, 0.1641, 1.0147], [1.6373, 5.6798, 3.3101], [0.1101, 0.0666, 6.7643]], "species": ["Sc", "Sc", "Sc", "Sc", "Sc", "Sc", "Hg", "Se", "Se", "Se", "Se", "Se"], "fractional_positions": [[0.7476, 0.0839, 0.3404], [0.2524, 0.5757, 0.3404], [0.2500, 0.2567, 0.0000], [0.7500, 0.7433, 0.0000], [0.7476, 0.4243, 0.6596], [0.2524, 0.9161, 0.6596], [0.0000, 0.0000, 0.0000], [0.5000, 0.1652, 0.6696], [0.0000, 0.3335, 0.3330], [0.5000, 0.5000, 0.0000], [0.0000, 0.6665, 0.6670], [0.5000, 0.8348, 0.3304]], "formation_energy_uncorrected_ev_per_fu": -16.67, "crystal_system": "monoclinic"}



{"formula": "KAuSe2", "functional": "GGA-PBE", "state": "relaxed", "lattice": [[2.9538, 0.0000, 0.0000], [0.0000, 4.0106, 0.0000], [0.0000, 0.0000, 8.0309]], "species": ["Au", "K", "Se", "Se"], "fractional_positions": [[0.5000, 0.5000, 0.2500], [0.5000, 0.5000, 0.7500], [0.0000, 0.0000, 0.0343], [0.0000, 0.0000, 0.4657]], "formation_energy_uncorrected_ev_per_fu": -0.37, "crystal_system": "orthorhombic"}



{"formula": "Nd4HoEr", "functional": "GGA-PBE", "state": "relaxed", "lattice": [[-2.8962, -1.7398, -5.1349], [-4.7939, -1.2644, 3.1323], [0.1006, 12.0656, -0.4658]], "species": ["Nd", "Nd", "Nd", "Nd", "Nd", "Nd", "Nd", "Nd", "Ho", "Ho", "Er", "Er"], "fractional_positions": [[0.3680, 0.9151, 0.3296], [0.9616, 0.4151, 0.3296], [0.7620, 0.8306, 0.1609], [0.3989, 0.3306, 0.1609], [0.2380, 0.1694, 0.8391], [0.6011, 0.6694, 0.8391], [0.6320, 0.0849, 0.6704], [0.0384, 0.5849, 0.6704], [0.5000, 0.5000, 0.5000], [0.0000, 0.0000, 0.5000], [0.1722, 0.7500, 0.0000], [0.8278, 0.2500, 0.0000]], "ef_ev_per_atom": 0.068, "crystal_system": "orthorhombic"}



| no. | raw total energy (eV per cell) | magnetic moment (μB per formula unit) |
| --- | --- | --- |
| 1 | -14.90 | 0.00 |
| 2 | -14.20 | 2.02 |
| 3 | -30.55 | 0.00 |
| 4 | -72.38 | 0.00 |
| 5 | -11.71 | 0.00 |
| 6 | -55.60 | 0.00 |